## Cd2RuPb2 (PBE-GGA)

Data for a geometry-optimized Cd2RuPb2 structure.

As for the formation energy: 0.511 eV/atom. The total magnetic moment comes out at 1.95 μB per cell.

abc: 7.341 7.341 4.655
angles: 90.00 90.00 90.00
Each line ends with the local moment (μB).
Fractional coordinates of all 10 atoms:
Pb: 0.337 0.837 0.000  -0.01
Pb: 0.837 0.663 0.000  0.00
Pb: 0.663 0.163 0.000  -0.01
Pb: 0.163 0.337 0.000  0.00
Ru: 0.000 0.000 0.000  0.87
Ru: 0.500 0.500 0.000  0.87
Cd: 0.150 0.650 0.500  0.01
Cd: 0.650 0.850 0.500  0.01
Cd: 0.850 0.350 0.500  0.01
Cd: 0.350 0.150 0.500  0.01

## Cd2RuPb (PBE-GGA)

Data for a geometry-optimized Cd2RuPb structure.

As for the formation energy: 0.397 eV/atom. The total magnetic moment comes out at 0.00 μB per cell.

abc: 4.119 4.119 4.797
angles: 90.00 90.00 90.00
Fractional coordinates of all 4 atoms:
Cd: 0.000 0.000 0.000
Cd: 0.500 0.500 0.000
Pb: 0.500 0.000 0.500
Ru: 0.000 0.500 0.500

## CdRu2Pb (PBE-GGA)

Data for a geometry-optimized CdRu2Pb structure.

As for the offset from the most stable computed form: 1.29 eV per formula unit. As for the formation energy: 0.608 eV/atom. The total magnetic moment comes out at 0.49 μB per cell.

abc: 8.789 8.789 8.789
angles: 20.58 20.58 20.58
Each line ends with the local moment (μB).
Fractional coordinates of all 4 atoms:
Cd: 0.250 0.250 0.250  0.00
Pb: 0.750 0.750 0.750  -0.01
Ru: 0.002 0.002 0.002  0.25
Ru: 0.498 0.498 0.498  0.25

## CdRu2Pb2 (PBE-GGA)

Data for a geometry-optimized CdRu2Pb2 structure.

As for the offset from the most stable computed form: 1.45 eV per formula unit. As for the formation energy: 0.640 eV/atom. The total magnetic moment comes out at 0.13 μB per cell.

abc: 4.487 4.487 6.485
angles: 69.76 69.76 90.00
Each line ends with the local moment (μB).
Fractional coordinates of all 5 atoms:
Pb: 0.750 0.250 0.500  0.00
Pb: 0.250 0.750 0.500  0.00
Ru: 0.394 0.394 0.212  0.06
Ru: 0.606 0.606 0.788  0.06
Cd: 0.000 0.000 0.000  0.00